The following is a PBE calculation of a relaxed Nd3Tm4Th crystal, from Alexandria via LeMat-Bulk. Values from VASP.

* SG: Pmn2_1
* energy relative to the elements: 0.37 eV/f.u.
* uncorrected energy: -4.90 eV per atom
* energy relative to the lowest polymorph listed for this composition: 21 meV/atom

The structure in Quantum ESPRESSO input format:
```
&SYSTEM
  ibrav = 0, nat = 16, ntyp = 3
/
ATOMIC_SPECIES
Nd 144.24 Nd.upf
Tm 168.93 Tm.upf
Th 232.04 Th.upf
CELL_PARAMETERS angstrom
11.523 0.000 0.000
0.000 7.218 0.000
0.000 0.000 6.261
ATOMIC_POSITIONS crystal
Nd 0.000 0.122 0.000
Nd 0.248 0.125 0.335
Nd 0.252 0.875 0.835
Nd 0.500 0.878 0.500
Nd 0.748 0.875 0.835
Nd 0.752 0.125 0.335
Tm 0.000 0.380 0.506
Tm 0.000 0.625 0.008
Tm 0.248 0.623 0.343
Tm 0.252 0.377 0.843
Tm 0.500 0.375 0.508
Tm 0.500 0.620 0.006
Tm 0.748 0.377 0.843
Tm 0.752 0.623 0.343
Th 0.000 0.870 0.509
Th 0.500 0.130 0.009
```

***

The following is a PBE calculation of a relaxed Nd2Tm8Th3 crystal, from Alexandria via LeMat-Bulk. Values from VASP.

* SG: C2/m
* energy relative to the elements: 3.43 eV/f.u.
* uncorrected energy: -4.93 eV per atom
* energy relative to the lowest polymorph listed for this composition: 100 meV/atom

The structure in Quantum ESPRESSO input format:
```
&SYSTEM
  ibrav = 0, nat = 13, ntyp = 3
/
ATOMIC_SPECIES
Nd 144.24 Nd.upf
Tm 168.93 Tm.upf
Th 232.04 Th.upf
CELL_PARAMETERS angstrom
7.377 -4.602 0.000
7.377 4.602 0.000
-1.142 0.000 6.481
ATOMIC_POSITIONS crystal
Nd 0.220 0.220 0.304
Nd 0.780 0.780 0.696
Tm 0.197 0.197 0.792
Tm 0.209 0.567 0.061
Tm 0.421 0.421 0.637
Tm 0.433 0.791 0.939
Tm 0.567 0.209 0.061
Tm 0.579 0.579 0.363
Tm 0.791 0.433 0.939
Tm 0.803 0.803 0.208
Th 0.000 0.000 0.000
Th 0.171 0.829 0.500
Th 0.829 0.171 0.500
```

***

The following is a PBE calculation of a relaxed NdTm6Th2 crystal, from Alexandria via LeMat-Bulk. Values from VASP.

* SG: P-6m2
* energy relative to the elements: 0.64 eV/f.u.
* uncorrected energy: -5.09 eV per atom
* energy relative to the lowest polymorph listed for this composition: 0 meV/atom

The structure in Quantum ESPRESSO input format:
```
&SYSTEM
  ibrav = 0, nat = 9, ntyp = 3
/
ATOMIC_SPECIES
Nd 144.24 Nd.upf
Tm 168.93 Tm.upf
Th 232.04 Th.upf
CELL_PARAMETERS angstrom
3.536 0.000 0.000
-1.768 3.062 0.000
0.000 0.000 26.215
ATOMIC_POSITIONS crystal
Nd 0.000 0.000 0.000
Tm 0.000 0.000 0.225
Tm 0.000 0.000 0.437
Tm 0.000 0.000 0.563
Tm 0.000 0.000 0.775
Tm 0.333 0.667 0.332
Tm 0.333 0.667 0.668
Th 0.333 0.667 0.116
Th 0.333 0.667 0.884
```

***

The following is a PBE calculation of a relaxed NdTmTh3 crystal, from Alexandria via LeMat-Bulk. Values from VASP.

* SG: Imma
* energy relative to the elements: 1.91 eV/f.u.
* uncorrected energy: -5.92 eV per atom

The structure in Quantum ESPRESSO input format:
```
&SYSTEM
  ibrav = 0, nat = 10, ntyp = 3
/
ATOMIC_SPECIES
Nd 144.24 Nd.upf
Tm 168.93 Tm.upf
Th 232.04 Th.upf
CELL_PARAMETERS angstrom
-4.992 5.934 2.994
4.992 -5.934 2.994
4.992 5.934 -2.994
ATOMIC_POSITIONS crystal
Nd 0.500 0.000 0.000
Nd 0.500 0.500 0.500
Tm 0.056 0.306 0.750
Tm 0.944 0.694 0.250
Th 0.000 0.000 0.000
Th 0.000 0.332 0.332
Th 0.000 0.668 0.668
Th 0.500 0.000 0.500
Th 0.500 0.332 0.832
Th 0.500 0.668 0.168
```

***

Q: The highest energy relative to the elements belongs to which entry?
A: Nd2Tm8Th3

***

Q: The highest uncorrected energy belongs to which entry?
A: Nd3Tm4Th

***

Q: Among the records above, which one has the lowest energy relative to the elements?
A: Nd3Tm4Th

***

Q: What is the formula in the first record?
A: Nd3Tm4Th